Entry 1:
Computed, not measured: a relaxed structure of Li2LaSb at the GGA-PBE level of DFT.

Lattice parameters (Å, degrees): 6.550 6.550 4.502 70.19 70.19 122.17
Last column: magnetic moment on the atom in μB.
Fractional positions:
La: 0.000 0.500 0.500  0.09
Li: 0.000 0.000 0.000  0.01
Li: 0.500 0.500 0.000  0.01
Sb: 0.500 0.000 0.500  0.00

* E: -14.19 eV per formula unit
* M_tot: 0.34 Bohr magnetons per cell
* energy relative to the elements, uncorrected: -327 meV per atom
* crystal system: monoclinic

Entry 2:
Computed, not measured: a relaxed structure of LiLa3Sb at the GGA-PBE level of DFT.

Lattice parameters (Å, degrees): 5.325 5.325 5.325 90.00 90.00 90.00
Fractional positions:
Sb: 0.500 0.500 0.500
Li: 0.000 0.000 0.000
La: 0.000 0.500 0.000
La: 0.000 0.000 0.500
La: 0.500 0.000 0.000

* E: -21.13 eV per formula unit
* M_tot: 0.00 Bohr magnetons per cell
* energy relative to the elements, uncorrected: -62 meV per atom
* excess energy over the best structure of this formula in the dataset: 0.00 kcal/mol of atoms
* crystal system: cubic

Entry 3:
Computed, not measured: a relaxed structure of Li2LaSb at the GGA-PBE level of DFT.

Lattice parameters (Å, degrees): 4.521 4.326 5.931 69.52 90.00 90.00
Fractional positions:
La: 0.500 0.742 0.652
Li: 0.000 0.999 0.123
Li: 0.500 0.445 0.222
Sb: 0.000 0.314 0.503

* E: -15.00 eV per formula unit
* M_tot: 0.00 Bohr magnetons per cell
* energy relative to the elements, uncorrected: -530 meV per atom
* crystal system: monoclinic

Entry 4:
Computed, not measured: a relaxed structure of LiLa2Sb at the GGA-PBE level of DFT.

Lattice parameters (Å, degrees): 4.277 4.277 6.681 90.00 90.00 90.00
Fractional positions:
La: 0.000 0.000 0.967
La: 0.500 0.500 0.261
Li: 0.000 0.000 0.515
Sb: 0.500 0.500 0.757

* E: -17.65 eV per formula unit
* M_tot: 0.03 Bohr magnetons per cell
* energy relative to the elements, uncorrected: -439 meV per atom
* crystal system: tetragonal

Entry 5:
Computed, not measured: a relaxed structure of Li4LaSb2 at the GGA-PBE level of DFT.

Lattice parameters (Å, degrees): 4.531 8.313 8.313 90.00 90.00 90.00
Fractional positions:
Li: 0.000 0.097 0.337
Li: 0.000 0.903 0.663
Li: 0.500 0.163 0.597
Li: 0.500 0.837 0.403
Li: 0.500 0.403 0.837
Li: 0.500 0.597 0.163
Li: 0.000 0.337 0.097
Li: 0.000 0.663 0.903
La: 0.500 0.000 0.000
La: 0.000 0.500 0.500
Sb: 0.000 0.213 0.787
Sb: 0.000 0.787 0.213
Sb: 0.500 0.713 0.713
Sb: 0.500 0.287 0.287

* E: -26.02 eV per formula unit
* M_tot: 0.01 Bohr magnetons per cell
* energy relative to the elements, uncorrected: -742 meV per atom
* crystal system: tetragonal

Entry 6:
Computed, not measured: a relaxed structure of Li3LaSb at the GGA-PBE level of DFT.

Lattice parameters (Å, degrees): 5.013 5.013 5.013 90.00 90.00 90.00
Fractional positions:
Sb: 0.000 0.000 0.000
Li: 0.000 0.500 0.000
Li: 0.000 0.000 0.500
Li: 0.500 0.000 0.000
La: 0.500 0.500 0.500

* E: -15.37 eV per formula unit
* M_tot: 0.00 Bohr magnetons per cell
* energy relative to the elements, uncorrected: -115 meV per atom
* excess energy over the best structure of this formula in the dataset: 0.00 kcal/mol of atoms
* crystal system: cubic

Entry 7:
Computed, not measured: a relaxed structure of LiLa2Sb at the GGA-PBE level of DFT.

Lattice parameters (Å, degrees): 6.200 6.200 6.200 135.83 135.83 64.24
Fractional positions:
La: 0.000 0.000 0.000
La: 0.250 0.750 0.500
Li: 0.500 0.500 0.000
Sb: 0.750 0.250 0.500

* E: -18.03 eV per formula unit
* M_tot: 0.00 Bohr magnetons per cell
* energy relative to the elements, uncorrected: -536 meV per atom
* crystal system: tetragonal

Entry 8:
Computed, not measured: a relaxed structure of LiLa2Sb at the GGA-PBE level of DFT.

Lattice parameters (Å, degrees): 4.181 4.178 6.901 90.00 90.00 90.00
Last column: magnetic moment on the atom in μB.
Fractional positions:
La: 0.000 0.000 0.987  0.08
La: 0.000 0.000 0.513  0.08
Li: 0.500 0.500 0.250  0.02
Sb: 0.500 0.500 0.750  0.00

* E: -18.07 eV per formula unit
* M_tot: 0.50 Bohr magnetons per cell
* energy relative to the elements, uncorrected: -544 meV per atom
* crystal system: tetragonal

Entry 9:
Computed, not measured: a relaxed structure of Li2LaSb at the GGA-PBE level of DFT.

Lattice parameters (Å, degrees): 4.571 4.571 10.992 78.00 78.00 90.00
Fractional positions:
Sb: 0.500 0.500 0.000
Sb: 0.250 0.750 0.500
Li: 0.540 0.125 0.250
Li: 0.210 0.625 0.250
Li: 0.375 0.460 0.750
Li: 0.875 0.790 0.750
La: 0.000 0.000 0.000
La: 0.750 0.250 0.500

* E: -14.50 eV per formula unit
* M_tot: 0.00 Bohr magnetons per cell
* energy relative to the elements, uncorrected: -406 meV per atom
* crystal system: tetragonal

Entry 10:
Computed, not measured: a relaxed structure of Li2LaSb at the GGA-PBE level of DFT.

Lattice parameters (Å, degrees): 10.281 10.281 10.281 19.62 19.62 19.62
Fractional positions:
La: 0.750 0.750 0.750
Li: 0.983 0.983 0.983
Li: 0.517 0.517 0.517
Sb: 0.250 0.250 0.250

* E: -13.15 eV per formula unit
* M_tot: 0.00 Bohr magnetons per cell
* energy relative to the elements, uncorrected: -67 meV per atom
* crystal system: trigonal

Entry 11:
Computed, not measured: a relaxed structure of LiLa2Sb at the GGA-PBE level of DFT.

Lattice parameters (Å, degrees): 8.692 8.692 6.910 51.02 51.02 90.00
Fractional positions:
Sb: 0.000 0.000 0.000
Sb: 0.750 0.250 0.500
Li: 0.500 0.500 0.000
Li: 0.250 0.750 0.500
La: 0.619 0.125 0.250
La: 0.131 0.625 0.250
La: 0.375 0.381 0.750
La: 0.875 0.869 0.750

* E: -17.19 eV per formula unit
* M_tot: 0.00 Bohr magnetons per cell
* energy relative to the elements, uncorrected: -325 meV per atom
* crystal system: tetragonal

Entry 12:
Computed, not measured: a relaxed structure of Li2LaSb at the GGA-PBE level of DFT.

Lattice parameters (Å, degrees): 3.434 4.372 6.648 90.00 90.00 90.00
Last column: magnetic moment on the atom in μB.
Fractional positions:
La: 0.500 0.500 0.750  0.14
Li: 0.000 0.000 0.054  0.00
Li: 0.000 0.000 0.446  0.00
Sb: 0.500 0.500 0.250  -0.01

* E: -14.18 eV per formula unit
* M_tot: 0.30 Bohr magnetons per cell
* energy relative to the elements, uncorrected: -325 meV per atom
* crystal system: orthorhombic

Entry 13:
Computed, not measured: a relaxed structure of LiLa2Sb at the GGA-PBE level of DFT.

Lattice parameters (Å, degrees): 7.162 6.738 6.738 66.51 57.90 57.90
Fractional positions:
Li: 0.750 0.198 0.302
Li: 0.250 0.802 0.698
La: 0.225 0.275 0.775
La: 0.275 0.725 0.225
La: 0.775 0.725 0.225
La: 0.725 0.275 0.775
Sb: 0.250 0.208 0.292
Sb: 0.750 0.792 0.708

* E: -18.36 eV per formula unit
* M_tot: 0.00 Bohr magnetons per cell
* energy relative to the elements, uncorrected: -618 meV per atom
* crystal system: orthorhombic

Entry 14:
Computed, not measured: a relaxed structure of LiLa3Sb2 at the GGA-PBE level of DFT.

Lattice parameters (Å, degrees): 4.108 5.349 9.624 106.13 102.32 90.00
Fractional positions:
Li: 0.000 0.000 0.000
La: 0.000 0.500 0.000
La: 0.824 0.824 0.648
La: 0.176 0.176 0.352
Sb: 0.646 0.646 0.293
Sb: 0.354 0.354 0.707

* E: -28.02 eV per formula unit
* M_tot: 0.00 Bohr magnetons per cell
* energy relative to the elements, uncorrected: -513 meV per atom
* crystal system: orthorhombic

Entry 15:
Computed, not measured: a relaxed structure of Li2LaSb2 at the GGA-PBE level of DFT.

Lattice parameters (Å, degrees): 8.373 8.373 3.340 90.00 90.00 90.00
Fractional positions:
Sb: 0.182 0.682 0.500
Sb: 0.682 0.818 0.500
Sb: 0.818 0.318 0.500
Sb: 0.318 0.182 0.500
Li: 0.389 0.889 0.000
Li: 0.889 0.611 0.000
Li: 0.611 0.111 0.000
Li: 0.111 0.389 0.000
La: 0.000 0.000 0.000
La: 0.500 0.500 0.000

* E: -20.50 eV per formula unit
* M_tot: 0.00 Bohr magnetons per cell
* energy relative to the elements, uncorrected: -701 meV per atom
* excess energy over the best structure of this formula in the dataset: 2.61 kcal/mol of atoms
* crystal system: tetragonal

Entry 16:
Computed, not measured: a relaxed structure of LiLa2Sb at the GGA-PBE level of DFT.

Lattice parameters (Å, degrees): 4.608 4.608 8.248 73.83 73.83 59.98
Fractional positions:
La: 0.991 0.991 0.027
La: 0.509 0.509 0.473
Li: 0.750 0.750 0.750
Sb: 0.250 0.250 0.250

* E: -17.49 eV per formula unit
* M_tot: 0.00 Bohr magnetons per cell
* energy relative to the elements, uncorrected: -399 meV per atom
* crystal system: trigonal

Entry 17:
Computed, not measured: a relaxed structure of Li2LaSb at the GGA-PBE level of DFT.

Lattice parameters (Å, degrees): 10.212 10.212 10.212 20.02 20.02 20.02
Last column: magnetic moment on the atom in μB.
Fractional positions:
La: 0.755 0.755 0.755  -0.08
Li: 0.991 0.991 0.991  -0.01
Li: 0.244 0.244 0.244  0.00
Sb: 0.509 0.509 0.509  0.00

* E: -13.45 eV per formula unit
* M_tot: 0.23 Bohr magnetons per cell
* energy relative to the elements, uncorrected: -143 meV per atom
* crystal system: trigonal

Entry 18:
Computed, not measured: a relaxed structure of Li2LaSb at the GGA-PBE level of DFT.

Lattice parameters (Å, degrees): 3.395 4.228 7.317 90.00 90.00 90.00
Last column: magnetic moment on the atom in μB.
Fractional positions:
La: 0.500 0.500 0.719  0.06
Li: 0.000 0.000 0.066  0.00
Li: 0.500 0.500 0.257  0.00
Sb: 0.000 0.000 0.458  0.00

* E: -14.50 eV per formula unit
* M_tot: 0.10 Bohr magnetons per cell
* energy relative to the elements, uncorrected: -405 meV per atom
* crystal system: orthorhombic

Entry 19:
Computed, not measured: a relaxed structure of Li4LaSb at the GGA-PBE level of DFT.

Lattice parameters (Å, degrees): 5.694 5.694 5.694 60.00 60.00 60.00
Last column: magnetic moment on the atom in μB.
Fractional positions:
Li: 0.871 0.376 0.376  0.01
Li: 0.376 0.376 0.871  0.01
Li: 0.376 0.871 0.376  0.01
Li: 0.376 0.376 0.376  0.01
La: 0.000 0.000 0.000  0.06
Sb: 0.750 0.750 0.750  0.01

* E: -17.75 eV per formula unit
* M_tot: 0.37 Bohr magnetons per cell
* energy relative to the elements, uncorrected: -174 meV per atom
* crystal system: cubic

Entry 20:
Computed, not measured: a relaxed structure of Li2LaSb at the GGA-PBE level of DFT.

Lattice parameters (Å, degrees): 4.498 4.498 5.832 67.34 67.34 60.01
Fractional positions:
La: 0.750 0.750 0.750
Li: 0.960 0.960 0.120
Li: 0.540 0.540 0.380
Sb: 0.250 0.250 0.250

* E: -14.93 eV per formula unit
* M_tot: 0.00 Bohr magnetons per cell
* energy relative to the elements, uncorrected: -514 meV per atom
* crystal system: trigonal